Density functional theory data (GGA-PBE) for a geometry-optimized LiTc2W structure.

Cell and atoms, written as POSCAR:
```
LiTc2W
1.0
-1.909 1.909 3.928
1.909 -1.909 3.928
1.909 1.909 -3.928
Li Tc W
1 2 1
direct
0.000 0.000 0.000
0.250 0.750 0.500
0.500 0.500 0.000
0.750 0.250 0.500
```

Summary:
Space group: I-4m2 (119)
Formation energy in eV per atom: 0.358
Energy above the most stable polymorph in this dataset in meV per atom: 195
Size of the total moment in μB per cell: 0.00
Calculated volume in A^3/atom: 14.32



Density functional theory data (GGA-PBE) for a geometry-optimized LiTc2W structure.

Cell and atoms, written as POSCAR:
```
LiTc2W
1.0
4.453 -1.331 0.000
4.453 1.331 0.000
-0.343 0.000 4.927
Li Tc W
1 2 1
direct
0.000 0.000 0.000
0.251 0.251 0.756
0.502 0.502 0.506
0.751 0.751 0.246
```

Summary:
Space group: Cm (8)
Formation energy in eV per atom: 0.356
Energy above the most stable polymorph in this dataset in meV per atom: 194
Size of the total moment in μB per cell: 0.00
Calculated volume in A^3/atom: 14.60



Density functional theory data (GGA-PBE) for a geometry-optimized LiTcW structure.

Cell and atoms, written as POSCAR:
```
LiTcW
1.0
0.000 2.204 6.910
1.514 0.000 6.910
1.514 2.204 0.000
Li Tc W
1 1 1
direct
0.000 0.000 0.000
0.666 0.666 0.334
0.324 0.324 0.676
```

Summary:
Space group: Fmm2 (42)
Formation energy in eV per atom: 0.296
Energy above the most stable polymorph in this dataset in meV per atom: 112
Size of the total moment in μB per cell: 0.00
Calculated volume in A^3/atom: 15.37



E? In order: -34.2; -34.2; -24.3 eV per cell.